Material: LiV2Cu2
Method: DFT, PBE
State: relaxed

Output
Electronic total energy, eV/atom: -5.407
Formation energy, eV/atom: 0.26
Symmetry: P4/mbm
Size of the total moment, μB per formula unit: 0.001
Energy above the lowest structure with this stoichiometry, eV/atom: 0.0000

The structure in POSCAR format:
```
LiV2Cu2
1.0
-6.582 -1.581 3.367
-2.629 -2.865 -6.484
0.860 -2.228 0.635
Cu V Li
4 4 2
direct
0.179 0.679 0.500
0.321 0.179 0.500
0.679 0.821 0.500
0.821 0.321 0.500
0.885 0.615 0.000
0.385 0.885 0.000
0.115 0.385 0.000
0.615 0.115 0.000
0.500 0.500 0.000
0.000 0.000 0.000
```


Material: LiVCu2
Method: DFT, PBE
State: relaxed

Output
Electronic total energy, eV/atom: -4.691
Formation energy, eV/atom: 0.12
Symmetry: P4/mmm
Size of the total moment, μB per formula unit: 0.002

The structure in POSCAR format:
```
LiVCu2
1.0
-1.560 -1.022 -1.652
-2.483 -1.708 3.401
-2.527 3.776 0.050
V Cu Li
1 2 1
direct
0.500 0.500 0.500
0.000 0.000 0.500
0.000 0.500 0.000
0.500 0.000 0.000
```